Density functional theory data (GGA-PBE) for a relaxed structure of Ac4CoOsI2.

Cell lengths 7.480, 4.338, 8.974 Å; angles 90.00, 106.27, 90.00 degrees
Atoms (fractional coordinates):
1 Ac 0.227 0.000 0.182
2 Ac 0.272 0.500 0.816
3 Ac 0.728 0.500 0.184
4 Ac 0.773 0.000 0.818
5 Co 0.000 0.500 0.000
6 Os 0.500 0.000 0.000
7 I 0.000 0.000 0.500
8 I 0.500 0.500 0.500

Values from the calculation:
SG = P2/m
Crystal system = monoclinic
Formation energy from raw total energies = -58 kJ/mol of atoms